Below is an optimized crystal structure of Ca2AcTmAg4, with properties calculated at the PBE level.

a b c (Å): 9.2910 9.2910 9.2910
angles (deg): 32.84 32.84 32.84
Sites, in units of the cell vectors:
Ca  0.2459  0.2459  0.2459
Ca  0.7541  0.7541  0.7541
Ac  0.0000  0.0000  0.0000
Tm  0.5000  0.5000  0.5000
Ag  0.1287  0.1287  0.1287
Ag  0.3851  0.3851  0.3851
Ag  0.6149  0.6149  0.6149
Ag  0.8713  0.8713  0.8713

Output
E_form: -0.2827 eV/atom
E: -3.2813 eV per atom